Entry from Alexandria via LeMat-Bulk: a relaxed LiY2GaO crystal (PBE-GGA).

Values from the calculation:
Uncorrected energy   -30.3 eV for the cell shown
Total magnetic moment   0.0 μB per cell

Cell and atoms, written as POSCAR:
```
LiY2GaO
1.0
4.765 0.000 0.000
0.000 4.765 0.000
0.000 0.000 4.028
O Ga Y Li
1 1 2 1
Direct
0.000 0.000 0.000 O
0.500 0.500 0.500 Ga
0.500 0.000 0.000 Y
0.000 0.500 0.000 Y
0.000 0.000 0.500 Li
```